Record 1
Here is a geometry-optimized Ti2FeHW structure from the Alexandria database. Energies are from PBE.

Total moment (μB per formula unit): 0.0
Crystal system: tetragonal

Cell: 4.3245 4.3245 3.2399 Å, 90.00 90.00 90.00°
Space group P4/mmm (No. 123)
Inequivalent atoms, fractional coordinates:
Ti 0.0000 0.5000 0.0000
Fe 0.0000 0.0000 0.5000
H 0.0000 0.0000 0.0000
W 0.5000 0.5000 0.5000

Record 2
Here is a geometry-optimized TiZnFe2H structure from the Alexandria database. Energies are from PBE.

Total moment (μB per formula unit): 2.6
Crystal system: tetragonal

Cell: 3.7496 3.7496 3.8058 Å, 90.00 90.00 90.00°
Space group P4/mmm (No. 123)
Inequivalent atoms, fractional coordinates:
Ti 0.0000 0.0000 0.0000
Zn 0.5000 0.5000 0.0000
Fe 0.0000 0.5000 0.5000
H 0.0000 0.0000 0.5000

Record 3
Here is a geometry-optimized TlFe2H structure from the Alexandria database. Energies are from PBE.

ΔE to the lowest computed polymorph (eV per atom): 0.710
Total moment (μB per formula unit): 5.3
Crystal system: cubic

Cell: 6.1091 6.1091 6.1091 Å, 90.00 90.00 90.00°
Space group Fm-3m (No. 225)
Inequivalent atoms, fractional coordinates:
Tl 0.0000 0.0000 0.0000
Fe 0.2500 0.2500 0.2500
H 0.0000 0.0000 0.5000

Record 4
Here is a geometry-optimized TlFe2H structure from the Alexandria database. Energies are from PBE.

ΔE to the lowest computed polymorph (eV per atom): 0.000
Total moment (μB per formula unit): 4.7
Crystal system: tetragonal

Cell: 5.0775 5.0775 8.2045 Å, 90.00 90.00 90.00°
Space group I4_1/amd (No. 141, origin choice 2)
Inequivalent atoms, fractional coordinates:
Tl 0.0000 0.2500 0.3750
Fe 0.0000 0.0000 0.0000
H 0.0000 0.2500 0.8750

Record 5
Here is a geometry-optimized TlFe3H structure from the Alexandria database. Energies are from PBE.

ΔE to the lowest computed polymorph (eV per atom): 0.000
Total moment (μB per formula unit): 6.6
Crystal system: cubic

Cell: 3.8780 3.8780 3.8780 Å, 90.00 90.00 90.00°
Space group Pm-3m (No. 221)
Inequivalent atoms, fractional coordinates:
Tl 0.0000 0.0000 0.0000
Fe 0.0000 0.5000 0.5000
H 0.5000 0.5000 0.5000

Record 6
Here is a geometry-optimized TlFe2H2 structure from the Alexandria database. Energies are from PBE.

ΔE to the lowest computed polymorph (eV per atom): 0.000
Total moment (μB per formula unit): 4.4
Crystal system: tetragonal

Cell: 3.1416 3.1416 10.9604 Å, 90.00 90.00 90.00°
Space group I4/mmm (No. 139)
Inequivalent atoms, fractional coordinates:
Tl 0.0000 0.0000 0.0000
Fe 0.0000 0.0000 0.3163
H 0.0000 0.5000 0.2500

| no. | DOS at the Fermi energy (states/eV/cell) | uncorrected energy (eV/cell) |
| --- | --- | --- |
| 1 | 5.82 | -41.30 |
| 2 | 3.32 | -30.06 |
| 3 | 16.42 | -73.76 |
| 4 | 10.29 | -85.13 |
| 5 | 3.59 | -29.74 |
| 6 | 6.83 | -49.40 |